# Y6Al5Cd | the Alexandria database | PBE | optimized geometry
# - Fermi-level density of states: 4.70 states/eV/cell
# - Magnetic moment: 0.00 μB per formula unit
# - Formation energy: -0.41 eV per atom
data_Y6Al5Cd
_chemical_formula_sum 'Y6 Al5 Cd1'
_space_group_name_H-M_alt 'P 1'
_space_group_IT_number 1
_cell_length_a 5.154
_cell_length_b 7.220
_cell_length_c 8.154
_cell_angle_alpha 90.00
_cell_angle_beta 71.57
_cell_angle_gamma 90.00
loop_
_space_group_symop_operation_xyz
'x,y,z'
loop_
_atom_site_label
_atom_site_type_symbol
_atom_site_fract_x
_atom_site_fract_y
_atom_site_fract_z
_atom_site_occupancy
Y1 Y 0.831 0.749 0.337 1
Y2 Y 0.831 0.251 0.337 1
Y3 Y 0.500 0.254 0.000 1
Y4 Y 0.500 0.746 0.000 1
Y5 Y 0.169 0.749 0.663 1
Y6 Y 0.169 0.251 0.663 1
Al1 Al 0.666 0.500 0.668 1
Al2 Al 0.336 0.000 0.327 1
Al3 Al 0.000 0.500 0.000 1
Al4 Al 0.664 0.000 0.673 1
Al5 Al 0.334 0.500 0.332 1
Cd1 Cd 0.000 0.000 0.000 1